VASP calculation (PBE+U) on a relaxed MnGeC2F crystal.

Summary:
The value obtained for the total magnetization is 0.338 μB per cell. The calculation puts the electronic total energy at -5.20 eV/atom.

a b c (Å): 3.7479 4.1568 3.7479
angles (deg): 90.00 90.00 90.00
Each line ends with the local moment (μB).
Fractional positions:
1 Ge 0.5000 0.5000 0.5000  0.02
2 Mn 0.0000 0.0000 0.0000  0.51
3 C 0.0000 0.0000 0.5000  -0.04
4 C 0.5000 0.0000 0.0000  -0.07
5 F 0.0000 0.5000 0.0000  -0.02